Record 1
DFT (GGA-PBEsol) results for an optimized crystal structure of Al2CoOsO.

For the energy relative to the elements, uncorrected, the calculation gives 4.51 eV/f.u. Its density of states at the Fermi level is 2.52 states/eV/f.u.

The space group is P4/mmm (No. 123) and the conventional cell measures 4.352, 4.352 and 4.250 Å, with angles of 90.00, 90.00 and 90.00 degrees. Symmetry generates all atoms from Al at (0.000, 0.500, 0.000), Co at (0.000, 0.000, 0.000), Os at (0.000, 0.000, 0.500) and O at (0.500, 0.500, 0.500).


Record 2
DFT (GGA-PBEsol) results for an optimized crystal structure of AlCoOs2.

Its formation energy is 36.8 meV per atom. Its density of states at the Fermi level is 2.95 states/eV/f.u.

The space group is R-3m (No. 166, hexagonal axes) and the conventional cell measures 2.7023, 2.7023 and 24.8364 Å, with angles of 90.00, 90.00 and 120.00 degrees. Symmetry generates all atoms from Al at (0.0000, 0.0000, 0.0000), Co at (0.0000, 0.0000, 0.5000) and Os at (0.0000, 0.0000, 0.2476).


Record 3
DFT (GGA-PBEsol) results for an optimized crystal structure of AlCoOs2.

Its formation energy is -59.9 meV per atom. Its density of states at the Fermi level is 3.48 states/eV/f.u.

The space group is Imm2 (No. 44) and the conventional cell measures 2.895, 4.187 and 8.350 Å, with angles of 90.00, 90.00 and 90.00 degrees. Symmetry generates all atoms from Al at (0.000, 0.000, 0.000), Co at (0.000, 0.500, 0.724), Os at (0.000, 0.000, 0.485) and Os at (0.000, 0.500, 0.250).


Record 4
DFT (GGA-PBEsol) results for an optimized crystal structure of AlCoOs2.

Its formation energy is -9.7 meV per atom. Its density of states at the Fermi level is 4.53 states/eV/f.u.

The space group is C2/m (No. 12) and the conventional cell measures 8.582, 2.696 and 4.597 Å, with angles of 90.00, 101.14 and 90.00 degrees. Symmetry generates all atoms from Al at (0.000, 0.000, 0.000), Co at (0.000, 0.500, 0.500) and Os at (0.245, 0.000, 0.740).


Record 5
DFT (GGA-PBEsol) results for an optimized crystal structure of Al2CoOs.

Its formation energy is -486.6 meV per atom. Its density of states at the Fermi level is 3.21 states/eV/f.u. The energy relative to the lowest polymorph listed for this composition is 0.013 eV/atom.

The space group is P4/mmm (No. 123) and the conventional cell measures 4.103, 4.103 and 2.973 Å, with angles of 90.00, 90.00 and 90.00 degrees. Symmetry generates all atoms from Al at (0.000, 0.500, 0.000), Co at (0.000, 0.000, 0.500) and Os at (0.500, 0.500, 0.500).


Record 6
DFT (GGA-PBEsol) results for an optimized crystal structure of AlCo2Os.

Its formation energy is -81.4 meV per atom. Its density of states at the Fermi level is 4.74 states/eV/f.u.

The space group is P4mm (No. 99) and the conventional cell measures 2.847, 2.847 and 5.881 Å, with angles of 90.00, 90.00 and 90.00 degrees. Symmetry generates all atoms from Al at (0.000, 0.000, 0.000), Co at (0.000, 0.000, 0.464), Co at (0.500, 0.500, 0.234) and Os at (0.500, 0.500, 0.720).


Record 7
DFT (GGA-PBEsol) results for an optimized crystal structure of AlCoOs2.

Its formation energy is 17.7 meV per atom. Its density of states at the Fermi level is 3.97 states/eV/f.u.

The space group is P4/mmm (No. 123) and the conventional cell measures 2.918, 2.918 and 5.996 Å, with angles of 90.00, 90.00 and 90.00 degrees. Symmetry generates all atoms from Al at (0.000, 0.000, 0.000), Co at (0.000, 0.000, 0.500) and Os at (0.500, 0.500, 0.258).


Record 8
DFT (GGA-PBEsol) results for an optimized crystal structure of Al2CoOs.

Its formation energy is -181.3 meV per atom. Its density of states at the Fermi level is 4.18 states/eV/f.u. The energy relative to the lowest polymorph listed for this composition is 0.318 eV/atom.

The space group is P4mm (No. 99) and the conventional cell measures 3.074, 3.074 and 5.490 Å, with angles of 90.00, 90.00 and 90.00 degrees. Symmetry generates all atoms from Al at (0.000, 0.000, 0.000), Al at (0.500, 0.500, 0.288), Co at (0.000, 0.000, 0.487) and Os at (0.500, 0.500, 0.776).


Record 9
DFT (GGA-PBEsol) results for an optimized crystal structure of AlCoOs2.

Its formation energy is 89.9 meV per atom. Its density of states at the Fermi level is 4.71 states/eV/f.u.

The space group is P4/mmm (No. 123) and the conventional cell measures 3.731, 3.731 and 3.720 Å, with angles of 90.00, 90.00 and 90.00 degrees. Symmetry generates all atoms from Al at (0.000, 0.000, 0.000), Co at (0.500, 0.500, 0.000) and Os at (0.000, 0.500, 0.500).


Record 10
DFT (GGA-PBEsol) results for an optimized crystal structure of AlCo2Os.

Its formation energy is -47.7 meV per atom. Its density of states at the Fermi level is 4.10 states/eV/f.u.

The space group is R-3m (No. 166, hexagonal axes) and the conventional cell measures 2.6248, 2.6248 and 24.0535 Å, with angles of 90.00, 90.00 and 120.00 degrees. Symmetry generates all atoms from Al at (0.0000, 0.0000, 0.0000), Co at (0.0000, 0.0000, 0.2516) and Os at (0.0000, 0.0000, 0.5000).


Record 11
DFT (GGA-PBEsol) results for an optimized crystal structure of AlCo2Os.

Its formation energy is -52.9 meV per atom. Its density of states at the Fermi level is 5.61 states/eV/f.u.

The space group is Pmmm (No. 47) and the conventional cell measures 2.918, 4.052 and 4.078 Å, with angles of 90.00, 90.00 and 90.00 degrees. Symmetry generates all atoms from Al at (0.000, 0.000, 0.000), Co at (0.000, 0.500, 0.500), Co at (0.500, 0.000, 0.500) and Os at (0.500, 0.500, 0.000).


Record 12
DFT (GGA-PBEsol) results for an optimized crystal structure of Al2CoOs.

Its formation energy is -499.6 meV per atom. Its density of states at the Fermi level is 3.30 states/eV/f.u. The energy relative to the lowest polymorph listed for this composition is 0.000 eV/atom.

The space group is Fm-3m (No. 225) and the conventional cell measures 5.843, 5.843 and 5.843 Å, with angles of 90.00, 90.00 and 90.00 degrees. Symmetry generates all atoms from Al at (0.250, 0.250, 0.250), Co at (0.000, 0.000, 0.000) and Os at (0.000, 0.000, 0.500).